Entry from Alexandria: a relaxed Tb3ThC8 crystal (PBE).

Results
SG ... I-42m (121)
Energy of formation ... 3.81 kcal/mol of atoms
M_tot ... 0.00 μB per formula unit
Electronic total energy ... -7.76 eV/atom

Lattice parameters (Å, degrees): 6.2664 6.2664 6.2664 112.84 112.84 102.92
Positions (direct):
Tb1 0.0000 0.0000 0.0000
Tb2 0.2500 0.7500 0.5000
Tb3 0.7500 0.2500 0.5000
Th1 0.5000 0.5000 0.0000
C1 0.0928 0.0928 0.6727
C2 0.0961 0.0961 0.4664
C3 0.3704 0.9039 0.0000
C4 0.4200 0.4200 0.3273
C5 0.5800 0.9072 0.0000
C6 0.6296 0.6296 0.5336
C7 0.9039 0.3704 0.0000
C8 0.9072 0.5800 0.0000



Entry from Alexandria: a relaxed YAg2Te2 crystal (PBE).

Results
SG ... P4/mbm (127)
Relative energy among the computed polymorphs ... 0.140 eV/atom
Formation energy from raw total energies ... -0.349 eV per atom
M_tot ... 0.58 μB per formula unit
Electronic total energy ... -4.04 eV/atom

Lattice parameters (Å, degrees): 8.0858 8.0858 4.0484 90.00 90.00 90.00
Positions (direct):
Y1 0.0000 0.0000 0.0000
Y2 0.5000 0.5000 0.0000
Ag1 0.1327 0.3673 0.5000
Ag2 0.3673 0.8673 0.5000
Ag3 0.6327 0.1327 0.5000
Ag4 0.8673 0.6327 0.5000
Te1 0.1709 0.6709 0.0000
Te2 0.3291 0.1709 0.0000
Te3 0.6709 0.8291 0.0000
Te4 0.8291 0.3291 0.0000



Entry from Alexandria: a relaxed Nd2Cd3Ag crystal (PBE).

Results
SG ... Pmm2 (25)
Energy of formation ... -7.53 kcal/mol of atoms
M_tot ... 0.00 μB per formula unit
Electronic total energy ... -2.85 eV/atom

Lattice parameters (Å, degrees): 3.4507 5.0342 8.7317 90.00 90.00 90.00
Positions (direct):
Nd1 0.0000 0.0000 0.0000
Nd2 0.0000 0.5000 0.4840
Cd1 0.5000 0.0000 0.6567
Cd2 0.5000 0.5000 0.1595
Cd3 0.5000 0.5000 0.8235
Ag1 0.5000 0.0000 0.3257



Entry from Alexandria: a relaxed Ce6SmOs4 crystal (PBE).

Results
SG ... I-42m (121)
Energy of formation ... -1.57 kcal/mol of atoms
M_tot ... 0.00 μB per formula unit
Electronic total energy ... -7.82 eV/atom

Lattice parameters (Å, degrees): 7.3587 7.3587 7.3587 120.16 120.16 89.72
Positions (direct):
Ce1 0.0000 0.5000 0.5000
Ce2 0.1228 0.1228 0.6629
Ce3 0.4600 0.4600 0.3371
Ce4 0.5000 0.0000 0.5000
Ce5 0.5400 0.8772 0.0000
Ce6 0.8772 0.5400 0.0000
Sm1 0.0000 0.0000 0.0000
Os1 0.2359 0.6297 0.0000
Os2 0.3703 0.3703 0.6062
Os3 0.6297 0.2359 0.0000
Os4 0.7641 0.7641 0.3938



Entry from Alexandria: a relaxed Hf7Zn2Ga2 crystal (PBE).

Results
SG ... Cmmm (65)
Energy of formation ... 3.39 kcal/mol of atoms
M_tot ... 0.00 μB per formula unit
Electronic total energy ... -6.97 eV/atom

Lattice parameters (Å, degrees): 5.9711 5.9711 7.0054 90.00 90.00 110.74
Positions (direct):
Hf1 0.0000 0.0000 0.0000
Hf2 0.0000 0.5000 0.2877
Hf3 0.0000 0.5000 0.7123
Hf4 0.5000 0.0000 0.2877
Hf5 0.5000 0.0000 0.7123
Hf6 0.5000 0.5000 0.2728
Hf7 0.5000 0.5000 0.7272
Zn1 0.1718 0.1718 0.5000
Zn2 0.8282 0.8282 0.5000
Ga1 0.2973 0.7027 0.0000
Ga2 0.7027 0.2973 0.0000



Entry from Alexandria: a relaxed LaSm2Zn2Ga2 crystal (PBE).

Results
SG ... R-3m (166)
Energy of formation ... -9.46 kcal/mol of atoms
M_tot ... 0.00 μB per formula unit
Electronic total energy ... -3.69 eV/atom

Lattice parameters (Å, degrees): 9.9657 9.9657 9.9657 26.21 26.21 26.21
Positions (direct):
La1 0.0000 0.0000 0.0000
Sm1 0.1285 0.1285 0.1285
Sm2 0.8715 0.8715 0.8715
Zn1 0.4049 0.4049 0.4049
Zn2 0.5951 0.5951 0.5951
Ga1 0.2597 0.2597 0.2597
Ga2 0.7403 0.7403 0.7403



Entry from Alexandria: a relaxed SrTi3Zn crystal (PBE).

Results
SG ... Pm-3m (221)
Relative energy among the computed polymorphs ... 0.000 eV/atom
Energy of formation ... 17.28 kcal/mol of atoms
M_tot ... 3.15 μB per formula unit
Electronic total energy ... -4.58 eV/atom

Lattice parameters (Å, degrees): 4.9516 4.9516 4.9516 90.00 90.00 90.00
Positions (direct):
Sr1 0.0000 0.0000 0.0000
Ti1 0.0000 0.5000 0.5000
Ti2 0.5000 0.0000 0.5000
Ti3 0.5000 0.5000 0.0000
Zn1 0.5000 0.5000 0.5000



Entry from Alexandria: a relaxed SmThOsCl crystal (PBE).

Results
SG ... R3m (160)
Formation energy from raw total energies ... -0.842 eV per atom
M_tot ... 0.00 μB per formula unit
Electronic total energy ... -7.15 eV/atom

Lattice parameters (Å, degrees): 8.0601 8.0601 8.0601 29.57 29.57 29.57
Positions (direct):
Sm1 0.0000 0.0000 0.0000
Th1 0.7958 0.7958 0.7958
Os1 0.4017 0.4017 0.4017
Cl1 0.2312 0.2312 0.2312



Entry from Alexandria: a relaxed Rb3Th2PaSe6 crystal (PBE).

Results
SG ... C2/m (12)
Formation energy from raw total energies ... -1.436 eV per atom
M_tot ... 2.35 μB per formula unit
Electronic total energy ... -5.45 eV/atom

Lattice parameters (Å, degrees): 7.3398 7.3398 8.5599 98.21 98.21 120.00
Positions (direct):
Rb1 0.0000 0.0000 0.0000
Rb2 0.3315 0.6685 0.0000
Rb3 0.6685 0.3315 0.0000
Th1 0.1663 0.8337 0.5000
Th2 0.8337 0.1663 0.5000
Pa1 0.5000 0.5000 0.5000
Se1 0.1034 0.4317 0.2944
Se2 0.2411 0.2411 0.7066
Se3 0.4317 0.1034 0.2944
Se4 0.5683 0.8966 0.7056
Se5 0.7589 0.7589 0.2934
Se6 0.8966 0.5683 0.7056



Entry from Alexandria: a relaxed Tl2CuSnO4 crystal (PBE).

Results
SG ... I-4 (82)
Formation energy from raw total energies ... -0.835 eV per atom
M_tot ... 1.05 μB per formula unit
Electronic total energy ... -4.92 eV/atom

Lattice parameters (Å, degrees): 5.6775 5.6775 5.6775 114.35 114.35 100.09
Positions (direct):
Tl1 0.0000 0.0000 0.0000
Tl2 0.7500 0.2500 0.5000
Cu1 0.2500 0.7500 0.5000
Sn1 0.5000 0.5000 0.0000
O1 0.2083 0.1135 0.6304
O2 0.4221 0.7917 0.9052
O3 0.4831 0.5779 0.3696
O4 0.8865 0.5169 0.0948



Entry from Alexandria: a relaxed ZrTl2HgI6 crystal (PBE).

Results
SG ... P1 (1)
Formation energy from raw total energies ... -0.704 eV per atom
M_tot ... 0.00 μB per formula unit
Electronic total energy ... -2.99 eV/atom

Lattice parameters (Å, degrees): 8.5327 8.5345 9.2496 89.97 62.55 60.01
Positions (direct):
Zr1 0.0000 0.0000 0.0000
Tl1 0.3168 0.3417 0.0251
Tl2 0.3648 0.8173 0.4536
Hg1 0.9976 0.5011 0.5033
I1 0.1424 0.8020 0.2113
I2 0.1678 0.6414 0.7836
I3 0.4073 0.9516 0.7832
I4 0.5908 0.0561 0.2117
I5 0.8449 0.3536 0.2104
I6 0.8583 0.1898 0.7825



Entry from Alexandria: a relaxed LiAs2PdBr crystal (PBE).

Results
SG ... P4/mmm (123)
Relative energy among the computed polymorphs ... 0.552 eV/atom
Formation energy from raw total energies ... 0.600 eV per atom
M_tot ... 0.00 μB per formula unit
Electronic total energy ... -3.02 eV/atom

Lattice parameters (Å, degrees): 5.1628 5.1628 4.3021 90.00 90.00 90.00
Positions (direct):
Li1 0.0000 0.0000 0.0000
As1 0.0000 0.5000 0.5000
As2 0.5000 0.0000 0.5000
Pd1 0.5000 0.5000 0.0000
Br1 0.0000 0.0000 0.5000



Entry from Alexandria: a relaxed Ac3Rh4Pb2 crystal (PBE).

Results
SG ... C2/m (12)
Relative energy among the computed polymorphs ... 0.000 eV/atom
Energy of formation ... -12.46 kcal/mol of atoms
M_tot ... 0.00 μB per formula unit
Electronic total energy ... -6.00 eV/atom

Lattice parameters (Å, degrees): 5.8532 5.8532 9.2516 95.55 95.55 46.38
Positions (direct):
Ac1 0.0000 0.0000 0.0000
Ac2 0.3739 0.3739 0.6178
Ac3 0.6261 0.6261 0.3822
Rh1 0.0830 0.0830 0.6278
Rh2 0.2792 0.2792 0.9145
Rh3 0.7208 0.7208 0.0855
Rh4 0.9170 0.9170 0.3722
Pb1 0.3205 0.3205 0.2169
Pb2 0.6795 0.6795 0.7831



Entry from Alexandria: a relaxed AcPr6Cd crystal (PBE).

Results
SG ... R-3 (148)
Relative energy among the computed polymorphs ... 0.048 eV/atom
Energy of formation ... 0.46 kcal/mol of atoms
M_tot ... 0.00 μB per formula unit
Electronic total energy ... -4.19 eV/atom

Lattice parameters (Å, degrees): 6.6303 6.6303 6.6303 97.17 97.17 97.17
Positions (direct):
Ac1 0.0000 0.0000 0.0000
Pr1 0.0470 0.2677 0.5543
Pr2 0.2677 0.5543 0.0470
Pr3 0.4457 0.9530 0.7323
Pr4 0.5543 0.0470 0.2677
Pr5 0.7323 0.4457 0.9530
Pr6 0.9530 0.7323 0.4457
Cd1 0.5000 0.5000 0.5000



Entry from Alexandria: a relaxed Cs3TlPb2Cl9 crystal (PBE).

Results
SG ... P-3m1 (164)
Formation energy from raw total energies ... -1.433 eV per atom
M_tot ... 0.00 μB per formula unit
Electronic total energy ... -3.36 eV/atom

Lattice parameters (Å, degrees): 8.0413 8.0413 9.8600 90.00 90.00 120.00
Positions (direct):
Cs1 0.0000 0.0000 0.0000
Cs2 0.3333 0.6667 0.6659
Cs3 0.6667 0.3333 0.3341
Tl1 0.0000 0.0000 0.5000
Pb1 0.3333 0.6667 0.1697
Pb2 0.6667 0.3333 0.8303
Cl1 0.0000 0.5000 0.0000
Cl2 0.1670 0.3340 0.3300
Cl3 0.1670 0.8330 0.3300
Cl4 0.3340 0.1670 0.6700
Cl5 0.5000 0.0000 0.0000
Cl6 0.5000 0.5000 0.0000
Cl7 0.6660 0.8330 0.3300
Cl8 0.8330 0.1670 0.6700
Cl9 0.8330 0.6660 0.6700



Entry from Alexandria: a relaxed Cr2NiSe crystal (PBE).

Results
SG ... Pm (6)
Formation energy from raw total energies ... 0.168 eV per atom
M_tot ... 0.47 μB per formula unit
Electronic total energy ... -6.96 eV/atom

Lattice parameters (Å, degrees): 3.2933 3.0324 5.7915 90.00 106.38 90.00
Positions (direct):
Cr1 0.0000 0.0000 0.0000
Cr2 0.3965 0.5000 0.7918
Ni1 0.7691 0.0000 0.5334
Se1 0.1769 0.5000 0.3483



Entry from Alexandria: a relaxed Sc8ZnCo2 crystal (PBE).

Results
SG ... C2/m (12)
Energy of formation ... -3.17 kcal/mol of atoms
M_tot ... 0.00 μB per formula unit
Electronic total energy ... -6.15 eV/atom

Lattice parameters (Å, degrees): 7.2567 7.2567 4.8735 97.66 97.66 113.18
Positions (direct):
Sc1 0.0660 0.3286 0.5796
Sc2 0.2446 0.7554 0.0000
Sc3 0.3286 0.0660 0.5796
Sc4 0.3784 0.3784 0.1910
Sc5 0.6216 0.6216 0.8090
Sc6 0.6714 0.9340 0.4204
Sc7 0.7554 0.2446 0.0000
Sc8 0.9340 0.6714 0.4204
Zn1 0.0000 0.0000 0.0000
Co1 0.3120 0.6880 0.5000
Co2 0.6880 0.3120 0.5000



Entry from Alexandria: a relaxed RbCuSb4 crystal (PBE).

Results
SG ... C2/m (12)
Formation energy from raw total energies ... 0.017 eV per atom
M_tot ... 0.00 μB per formula unit
Electronic total energy ... -3.58 eV/atom

Lattice parameters (Å, degrees): 8.5935 8.5935 7.0023 90.70 90.70 49.97
Positions (direct):
Rb1 0.1704 0.1704 0.3170
Rb2 0.8296 0.8296 0.6830
Cu1 0.4645 0.4645 0.8277
Cu2 0.5355 0.5355 0.1723
Sb1 0.1796 0.5791 0.1188
Sb2 0.2899 0.2899 0.7858
Sb3 0.3054 0.6946 0.5000
Sb4 0.4209 0.8204 0.8812
Sb5 0.5791 0.1796 0.1188
Sb6 0.6946 0.3054 0.5000
Sb7 0.7101 0.7101 0.2142
Sb8 0.8204 0.4209 0.8812



Entry from Alexandria: a relaxed BeAsAu crystal (PBE).

Results
SG ... P4/nmm (129)
Energy of formation ... 2.27 kcal/mol of atoms
M_tot ... 0.00 μB per formula unit
Electronic total energy ... -3.79 eV/atom

Lattice parameters (Å, degrees): 3.4301 3.4301 9.5337 90.00 90.00 90.00
Positions (direct):
Be1 0.2500 0.7500 0.0000
Be2 0.7500 0.2500 0.0000
As1 0.2500 0.2500 0.1549
As2 0.7500 0.7500 0.8451
Au1 0.2500 0.2500 0.4214
Au2 0.7500 0.7500 0.5786



Entry from Alexandria: a relaxed Cs2K3Rb crystal (PBE).

Results
SG ... C2/m (12)
Relative energy among the computed polymorphs ... 0.000 eV/atom
Energy of formation ... -0.01 kcal/mol of atoms
M_tot ... 0.00 μB per formula unit
Electronic total energy ... -1.00 eV/atom

Lattice parameters (Å, degrees): 9.0983 9.0983 9.2294 120.00 120.00 60.27
Positions (direct):
Cs1 0.1231 0.1231 0.3694
Cs2 0.8769 0.8769 0.6306
K1 0.0000 0.5000 0.0000
K2 0.5000 0.0000 0.0000
K3 0.5000 0.5000 0.0000
Rb1 0.5000 0.5000 0.5000